Entry 1:
Material: RhPbNF2
Method: DFT, PBE
State: optimized geometry

a = 4.4650 Å, b = 4.4650 Å, c = 4.4035 Å
α = 90.00°, β = 90.00°, γ = 90.00°
Space group P4/mmm (No. 123)
Unique sites:
Rh: 0.0000 0.0000 0.0000 (multiplicity 1)
Pb: 0.5000 0.5000 0.5000 (multiplicity 1)
N: 0.5000 0.5000 0.0000 (multiplicity 1)
F: 0.0000 0.5000 0.5000 (multiplicity 2)

Results
- crystal system = tetragonal
- size of the total moment (Bohr magnetons per cell) = 2.6
- Fermi-level density of states (states/eV per atom) = 0.65
- E_tot (eV/atom) = -4.38

Entry 2:
Material: RhPbNF2
Method: DFT, PBE
State: optimized geometry

a = 3.8580 Å, b = 3.8580 Å, c = 5.9274 Å
α = 90.00°, β = 90.00°, γ = 90.00°
Space group P4/mmm (No. 123)
Unique sites:
Rh: 0.0000 0.0000 0.0000 (multiplicity 1)
Pb: 0.0000 0.0000 0.5000 (multiplicity 1)
N: 0.5000 0.5000 0.5000 (multiplicity 1)
F: 0.0000 0.5000 0.0000 (multiplicity 2)

Results
- crystal system = tetragonal
- size of the total moment (Bohr magnetons per cell) = 0.0
- Fermi-level density of states (states/eV per atom) = 1.51
- E_tot (eV/atom) = -4.55

Entry 3:
Material: RuPbNF2
Method: DFT, PBE
State: optimized geometry

a = 4.4276 Å, b = 4.4276 Å, c = 3.7719 Å
α = 90.00°, β = 90.00°, γ = 90.00°
Space group P4/mmm (No. 123)
Unique sites:
Ru: 0.0000 0.0000 0.0000 (multiplicity 1)
Pb: 0.5000 0.5000 0.5000 (multiplicity 1)
N: 0.0000 0.0000 0.5000 (multiplicity 1)
F: 0.0000 0.5000 0.0000 (multiplicity 2)

Results
- crystal system = tetragonal
- size of the total moment (Bohr magnetons per cell) = 0.1
- Fermi-level density of states (states/eV per atom) = 0.76
- E_tot (eV/atom) = -5.65

Entry 4:
Material: RuPbNF2
Method: DFT, PBE
State: optimized geometry

a = 4.4998 Å, b = 4.4998 Å, c = 4.3881 Å
α = 90.00°, β = 90.00°, γ = 90.00°
Space group P4/mmm (No. 123)
Unique sites:
Ru: 0.0000 0.0000 0.0000 (multiplicity 1)
Pb: 0.5000 0.5000 0.5000 (multiplicity 1)
N: 0.5000 0.5000 0.0000 (multiplicity 1)
F: 0.0000 0.5000 0.5000 (multiplicity 2)

Results
- crystal system = tetragonal
- size of the total moment (Bohr magnetons per cell) = 3.7
- Fermi-level density of states (states/eV per atom) = 0.72
- E_tot (eV/atom) = -4.61

Entry 5:
Material: PbSNF2
Method: DFT, PBE
State: optimized geometry

a = 4.3997 Å, b = 4.3997 Å, c = 4.5072 Å
α = 90.00°, β = 90.00°, γ = 90.00°
Space group P4/mmm (No. 123)
Unique sites:
Pb: 0.0000 0.0000 0.0000 (multiplicity 1)
S: 0.5000 0.5000 0.5000 (multiplicity 1)
N: 0.0000 0.0000 0.5000 (multiplicity 1)
F: 0.0000 0.5000 0.0000 (multiplicity 2)

Results
- crystal system = tetragonal
- size of the total moment (Bohr magnetons per cell) = 1.7
- Fermi-level density of states (states/eV per atom) = 0.50
- E_tot (eV/atom) = -3.81

Entry 6:
Material: Pb2SNF
Method: DFT, PBE
State: optimized geometry

a = 5.0671 Å, b = 5.0671 Å, c = 4.3414 Å
α = 90.00°, β = 90.00°, γ = 90.00°
Space group P4/mmm (No. 123)
Unique sites:
Pb: 0.0000 0.5000 0.0000 (multiplicity 2)
S: 0.0000 0.0000 0.5000 (multiplicity 1)
N: 0.5000 0.5000 0.5000 (multiplicity 1)
F: 0.0000 0.0000 0.0000 (multiplicity 1)

Results
- crystal system = tetragonal
- size of the total moment (Bohr magnetons per cell) = 1.3
- Fermi-level density of states (states/eV per atom) = 0.43
- E_tot (eV/atom) = -3.73